This record from Alexandria describes a geometry-optimized Rb2HPdCl6 structure. The functional is PBE-GGA.

Structure (extended XYZ):
```
10
Lattice="7.778 0.000 0.000 0.000 7.778 0.000 3.889 3.889 4.547" Properties=species:S:1:pos:R:3 pbc="T T T"
Cl 1.646 6.132 0.000
Cl 7.778 7.778 2.975
Cl 6.132 1.646 0.000
Cl 6.132 6.132 0.000
Cl 3.889 3.889 1.572
Cl 1.646 1.646 0.000
Rb 3.889 7.778 2.273
Rb 7.778 3.889 2.273
Pd 0.000 0.000 0.000
H 3.889 3.889 0.000
```

energy: -3.188 eV/atom
symmetry: I4/mmm, No. 139
calculated volume: 27.51 A^3/atom